# YSc2In (GGA-PBE, optimized geometry)
data_YSc2In
_space_group_name_H-M_alt 'R 3 m'
_space_group_IT_number 160
_space_group_name_Hall 'R 3 -2"'
_cell_length_a 3.3840
_cell_length_b 3.3840
_cell_length_c 31.7648
_cell_angle_alpha 90.00
_cell_angle_beta 90.00
_cell_angle_gamma 120.00
loop_
_atom_site_label
_atom_site_type_symbol
_atom_site_fract_x
_atom_site_fract_y
_atom_site_fract_z
_atom_site_occupancy
Y1 Y 0.0000 0.0000 0.0000 1
Sc1 Sc 0.0000 0.0000 0.2459 1
Sc2 Sc 0.0000 0.0000 0.4979 1
In1 In 0.0000 0.0000 0.7521 1
# energy of formation from the pure elements = -0.12 eV per atom

***

# Li2Nd2UN4 (GGA-PBE, optimized geometry)
data_Li2Nd2UN4
_space_group_name_H-M_alt 'C 1 2/m 1'
_space_group_IT_number 12
_cell_length_a 12.401
_cell_length_b 3.421
_cell_length_c 6.001
_cell_angle_alpha 90.00
_cell_angle_beta 109.19
_cell_angle_gamma 90.00
loop_
_space_group_symop_operation_xyz
'x,y,z'
'-x,-y,-z'
'-x,y,-z'
'x,-y,z'
'x+1/2,y+1/2,z'
'-x+1/2,-y+1/2,-z'
'-x+1/2,y+1/2,-z'
'x+1/2,-y+1/2,z'
loop_
_atom_site_label
_atom_site_type_symbol
_atom_site_fract_x
_atom_site_fract_y
_atom_site_fract_z
_atom_site_occupancy
Li1 Li 0.186 0.000 0.005 1
Nd1 Nd 0.140 0.500 0.569 1
U1 U 0.000 0.500 0.000 1
N1 N 0.029 0.000 0.768 1
N2 N 0.202 0.500 0.212 1
# total DFT energy (no corrections) = -7.3873 eV/atom

***

# BeHg2Ge (GGA-PBE, optimized geometry)
data_BeHg2Ge
_space_group_name_H-M_alt 'F m -3 m'
_space_group_IT_number 225
_space_group_name_Hall '-F 4 2 3'
_cell_length_a 6.799
_cell_length_b 6.799
_cell_length_c 6.799
_cell_angle_alpha 90.00
_cell_angle_beta 90.00
_cell_angle_gamma 90.00
loop_
_atom_site_label
_atom_site_type_symbol
_atom_site_fract_x
_atom_site_fract_y
_atom_site_fract_z
_atom_site_occupancy
Be1 Be 0.000 0.000 0.000 1
Hg1 Hg 0.250 0.250 0.250 1
Ge1 Ge 0.000 0.000 0.500 1
# energy of formation from the pure elements = 0.60 eV per atom
# energy relative to the lowest polymorph listed for this composition = 121 meV per atom

***

# Si2Sb2H (GGA-PBE, optimized geometry)
data_Si2Sb2H
_space_group_name_H-M_alt 'P 4/m b m'
_space_group_IT_number 127
_space_group_name_Hall '-P 4 2ab'
_cell_length_a 6.830
_cell_length_b 6.830
_cell_length_c 4.295
_cell_angle_alpha 90.00
_cell_angle_beta 90.00
_cell_angle_gamma 90.00
loop_
_atom_site_label
_atom_site_type_symbol
_atom_site_fract_x
_atom_site_fract_y
_atom_site_fract_z
_atom_site_occupancy
Si1 Si 0.122 0.378 0.000 1
Sb1 Sb 0.205 0.705 0.500 1
H1 H 0.000 0.000 0.500 1
# total DFT energy (no corrections) = -3.8424 eV/atom

***

Calculated theoretical density in order - 4.64 8.24 10.20 4.98 g/cm3
Calculated density of states at the Fermi level in order - 11.71 8.55 5.92 4.14 states/eV/cell